Crystalline CrCoIrO6 at its relaxed geometry, computed with GGA+U.

Cell and atoms, written as extended XYZ:
```
18
Lattice="4.927 0.000 0.000 -2.463 4.267 0.000 0.000 0.000 8.474" Properties=species:S:1:pos:R:3 pbc="T T T"
Cr 0.000 2.844 2.118
Cr 2.463 1.422 6.355
Co 0.000 0.000 0.000
Co 0.000 0.000 4.237
Ir 0.000 2.844 6.355
Ir 2.463 1.422 2.118
O -0.824 1.431 5.268
O -1.636 2.838 7.442
O 0.824 1.431 7.442
O -0.812 4.264 5.268
O 1.652 0.002 1.032
O 0.828 1.429 3.205
O 1.636 2.838 5.268
O 0.812 4.264 7.442
O 3.275 0.002 3.205
O 1.640 2.835 1.032
O 4.099 1.429 1.032
O 3.287 2.835 3.205
```

## Properties
- Space group: P-31c
- Energy: -6.638 eV/atom
- DOS(E_F): 0.51 states/eV per atom